A relaxed RbHfCr2O8 crystal, computed with GGA+U.

The structure in CIF format:
```
data_RbHfCr2O8
_symmetry_space_group_name_H-M 'C 1 2/m 1'
_symmetry_Int_Tables_number 12
_symmetry_space_group_name_Hall '-C 2y'
_cell_length_a 9.4684
_cell_length_b 5.6987
_cell_length_c 8.1910
_cell_angle_alpha 90.00
_cell_angle_beta 91.92
_cell_angle_gamma 90.00
loop_
_atom_site_label
_atom_site_fract_x
_atom_site_fract_y
_atom_site_fract_z
Rb1 0.0000 0.0000 0.0000
Hf1 0.0000 0.0000 0.5000
Cr1 0.1451 0.5000 0.2860
O1 0.0492 0.2516 0.3285
O2 0.1777 0.5000 0.0922
O3 0.2056 0.0000 0.5932
```

Properties
Calculated total energy (eV for the cell shown): -177.25
Calculated density (Mg/m³): 3.7